Entry 1
Here is an optimized crystal structure of Ca2HgAsPt from the Alexandria database. Energies are from GGA-PBE.

The value obtained for the density of states at the Fermi level is 2.25 states/eV/f.u.

a = 5.727 Å, b = 5.727 Å, c = 4.918 Å
α = 90.00°, β = 90.00°, γ = 90.00°
Space group P4/mmm (No. 123)
Inequivalent atoms, fractional coordinates:
1 Ca 0.000 0.500 0.000
2 Hg 0.000 0.000 0.000
3 As 0.000 0.000 0.500
4 Pt 0.500 0.500 0.500



Entry 2
Here is an optimized crystal structure of Ca2HgAsPt from the Alexandria database. Energies are from GGA-PBE.

The value obtained for the density of states at the Fermi level is 3.55 states/eV/f.u.

a = 5.411 Å, b = 5.411 Å, c = 5.115 Å
α = 90.00°, β = 90.00°, γ = 90.00°
Space group P4/mmm (No. 123)
Inequivalent atoms, fractional coordinates:
1 Ca 0.000 0.500 0.000
2 Hg 0.000 0.000 0.500
3 As 0.500 0.500 0.500
4 Pt 0.000 0.000 0.000



Entry 3
Here is an optimized crystal structure of Ca2HgAsPt from the Alexandria database. Energies are from GGA-PBE.

The value obtained for the density of states at the Fermi level is 3.16 states/eV/f.u.

a = 5.608 Å, b = 5.608 Å, c = 4.684 Å
α = 90.00°, β = 90.00°, γ = 90.00°
Space group P4/mmm (No. 123)
Inequivalent atoms, fractional coordinates:
1 Ca 0.000 0.500 0.000
2 Hg 0.000 0.000 0.500
3 As 0.500 0.500 0.500
4 Pt 0.500 0.500 0.000



Result of the stability comparison: entry 1 is the least stable of them.



Entry 1
Here is an optimized crystal structure of CaHgAsSe2 from the Alexandria database. Energies are from GGA-PBE.

The value obtained for the density of states at the Fermi level is 4.63 states/eV/f.u.

a = 5.368 Å, b = 5.368 Å, c = 5.087 Å
α = 90.00°, β = 90.00°, γ = 90.00°
Space group P4/mmm (No. 123)
Inequivalent atoms, fractional coordinates:
1 Ca 0.000 0.000 0.000
2 Hg 0.500 0.500 0.500
3 As 0.500 0.500 0.000
4 Se 0.000 0.500 0.500



Entry 2
Here is an optimized crystal structure of CaHgAsSe2 from the Alexandria database. Energies are from GGA-PBE.

The value obtained for the density of states at the Fermi level is 6.48 states/eV/f.u.

a = 5.443 Å, b = 5.443 Å, c = 5.643 Å
α = 90.00°, β = 90.00°, γ = 90.00°
Space group P4/mmm (No. 123)
Inequivalent atoms, fractional coordinates:
1 Ca 0.000 0.000 0.000
2 Hg 0.500 0.500 0.500
3 As 0.000 0.000 0.500
4 Se 0.000 0.500 0.000



Result of the stability comparison: entry 2 is the least stable of them.



Entry 1
Here is an optimized crystal structure of CaHoAs2 from the Alexandria database. Energies are from GGA-PBE.

The value obtained for the density of states at the Fermi level is 2.99 states/eV/f.u.

a = 4.1157 Å, b = 4.1157 Å, c = 21.0424 Å
α = 90.00°, β = 90.00°, γ = 120.00°
Space group R-3m (No. 166, hexagonal axes)
Inequivalent atoms, fractional coordinates:
1 Ca 0.0000 0.0000 0.0000
2 Ho 0.0000 0.0000 0.5000
3 As 0.0000 0.0000 0.2453



Entry 2
Here is an optimized crystal structure of CaHoAs2 from the Alexandria database. Energies are from GGA-PBE.

The value obtained for the density of states at the Fermi level is 3.75 states/eV/f.u.

a = 4.2791 Å, b = 4.2791 Å, c = 20.0601 Å
α = 90.00°, β = 90.00°, γ = 120.00°
Space group R3m (No. 160, hexagonal axes)
Inequivalent atoms, fractional coordinates:
1 Ca 0.0000 0.0000 0.0000
2 Ho 0.0000 0.0000 0.1736
3 As 0.0000 0.0000 0.4261
4 As 0.0000 0.0000 0.5808



Result of the stability comparison: entry 2 is the least stable of them.



Entry 1
Here is an optimized crystal structure of CaAs2I from the Alexandria database. Energies are from GGA-PBE.

The value obtained for the density of states at the Fermi level is 8.34 states/eV/f.u.

a = 7.472 Å, b = 7.472 Å, c = 7.472 Å
α = 90.00°, β = 90.00°, γ = 90.00°
Space group Fm-3m (No. 225)
Inequivalent atoms, fractional coordinates:
1 Ca 0.000 0.000 0.000
2 As 0.250 0.250 0.250
3 I 0.000 0.000 0.500



Entry 2
Here is an optimized crystal structure of CaAs2I from the Alexandria database. Energies are from GGA-PBE.

The value obtained for the density of states at the Fermi level is 2.98 states/eV/f.u.

a = 6.017 Å, b = 6.017 Å, c = 16.039 Å
α = 90.00°, β = 90.00°, γ = 90.00°
Space group I-42d (No. 122)
Inequivalent atoms, fractional coordinates:
1 Ca 0.000 0.000 0.000
2 As 0.234 0.250 0.625
3 I 0.000 0.000 0.500



Result of the stability comparison: entry 2 is the least stable of them.



Entry 1
Here is an optimized crystal structure of CaAs3I from the Alexandria database. Energies are from GGA-PBE.

The value obtained for the density of states at the Fermi level is 4.32 states/eV/f.u.

a = 5.368 Å, b = 5.368 Å, c = 5.368 Å
α = 90.00°, β = 90.00°, γ = 90.00°
Space group Pm-3m (No. 221)
Inequivalent atoms, fractional coordinates:
1 Ca 0.000 0.000 0.000
2 As 0.000 0.500 0.500
3 I 0.500 0.500 0.500



Entry 2
Here is an optimized crystal structure of CaAs3I from the Alexandria database. Energies are from GGA-PBE.

The value obtained for the density of states at the Fermi level is 8.67 states/eV/f.u.

a = 5.478 Å, b = 5.478 Å, c = 5.478 Å
α = 90.00°, β = 90.00°, γ = 90.00°
Space group Pm-3m (No. 221)
Inequivalent atoms, fractional coordinates:
1 Ca 0.000 0.000 0.000
2 As 0.000 0.000 0.500
3 I 0.500 0.500 0.500



Result of the stability comparison: entry 2 is the least stable of them.



Entry 1
Here is an optimized crystal structure of CaAsIN2 from the Alexandria database. Energies are from GGA-PBE.

The value obtained for the density of states at the Fermi level is 3.64 states/eV/f.u.

a = 4.657 Å, b = 4.657 Å, c = 6.408 Å
α = 90.00°, β = 90.00°, γ = 90.00°
Space group P4/mmm (No. 123)
Inequivalent atoms, fractional coordinates:
1 Ca 0.000 0.000 0.000
2 As 0.500 0.500 0.500
3 I 0.000 0.000 0.500
4 N 0.000 0.500 0.000



Entry 2
Here is an optimized crystal structure of CaAsIN2 from the Alexandria database. Energies are from GGA-PBE.

The value obtained for the density of states at the Fermi level is 1.03 states/eV/f.u.

a = 4.126 Å, b = 4.126 Å, c = 5.844 Å
α = 90.00°, β = 90.00°, γ = 90.00°
Space group P4/mmm (No. 123)
Inequivalent atoms, fractional coordinates:
1 Ca 0.000 0.000 0.000
2 As 0.500 0.500 0.500
3 I 0.500 0.500 0.000
4 N 0.000 0.500 0.500



Result of the stability comparison: entry 1 is the least stable of them.



Entry 1
Here is an optimized crystal structure of CaAsI2N from the Alexandria database. Energies are from GGA-PBE.

The value obtained for the density of states at the Fermi level is 1.85 states/eV/f.u.

a = 6.099 Å, b = 6.099 Å, c = 3.777 Å
α = 90.00°, β = 90.00°, γ = 90.00°
Space group P4/mmm (No. 123)
Inequivalent atoms, fractional coordinates:
1 Ca 0.000 0.000 0.000
2 As 0.500 0.500 0.500
3 I 0.000 0.500 0.500
4 N 0.500 0.500 0.000



Entry 2
Here is an optimized crystal structure of CaAsI2N from the Alexandria database. Energies are from GGA-PBE.

The value obtained for the density of states at the Fermi level is 8.75 states/eV/f.u.

a = 6.042 Å, b = 6.042 Å, c = 4.161 Å
α = 90.00°, β = 90.00°, γ = 90.00°
Space group P4/mmm (No. 123)
Inequivalent atoms, fractional coordinates:
1 Ca 0.000 0.000 0.000
2 As 0.500 0.500 0.500
3 I 0.000 0.500 0.000
4 N 0.000 0.000 0.500



Result of the stability comparison: entry 2 is the least stable of them.



Entry 1
Here is an optimized crystal structure of CaAs2SeI from the Alexandria database. Energies are from GGA-PBE.

The value obtained for the density of states at the Fermi level is 3.88 states/eV/f.u.

a = 5.388 Å, b = 5.388 Å, c = 5.396 Å
α = 90.00°, β = 90.00°, γ = 90.00°
Space group P4/mmm (No. 123)
Inequivalent atoms, fractional coordinates:
1 Ca 0.000 0.000 0.000
2 As 0.000 0.500 0.500
3 Se 0.500 0.500 0.000
4 I 0.500 0.500 0.500



Entry 2
Here is an optimized crystal structure of CaAs2SeI from the Alexandria database. Energies are from GGA-PBE.

The value obtained for the density of states at the Fermi level is 7.48 states/eV/f.u.

a = 5.632 Å, b = 5.632 Å, c = 5.251 Å
α = 90.00°, β = 90.00°, γ = 90.00°
Space group P4/mmm (No. 123)
Inequivalent atoms, fractional coordinates:
1 Ca 0.000 0.000 0.000
2 As 0.000 0.500 0.000
3 Se 0.000 0.000 0.500
4 I 0.500 0.500 0.500



Result of the stability comparison: entry 2 is the least stable of them.



Entry 1
Here is an optimized crystal structure of CaTeAsI2 from the Alexandria database. Energies are from GGA-PBE.

The value obtained for the density of states at the Fermi level is 0.48 states/eV/f.u.

a = 5.558 Å, b = 5.558 Å, c = 5.821 Å
α = 90.00°, β = 90.00°, γ = 90.00°
Space group P4/mmm (No. 123)
Inequivalent atoms, fractional coordinates:
1 Ca 0.000 0.000 0.000
2 Te 0.500 0.500 0.000
3 As 0.500 0.500 0.500
4 I 0.000 0.500 0.500



Entry 2
Here is an optimized crystal structure of CaTeAsI2 from the Alexandria database. Energies are from GGA-PBE.

The value obtained for the density of states at the Fermi level is 3.22 states/eV/f.u.

a = 5.940 Å, b = 5.940 Å, c = 6.396 Å
α = 90.00°, β = 90.00°, γ = 90.00°
Space group P4/mmm (No. 123)
Inequivalent atoms, fractional coordinates:
1 Ca 0.000 0.000 0.000
2 Te 0.000 0.000 0.500
3 As 0.500 0.500 0.500
4 I 0.000 0.500 0.000



Result of the stability comparison: entry 2 is the least stable of them.



Entry 1
Here is an optimized crystal structure of CaAsIr3 from the Alexandria database. Energies are from GGA-PBE.

The value obtained for the density of states at the Fermi level is 6.59 states/eV/f.u.

a = 4.789 Å, b = 4.789 Å, c = 4.789 Å
α = 90.00°, β = 90.00°, γ = 90.00°
Space group Pm-3m (No. 221)
Inequivalent atoms, fractional coordinates:
1 Ca 0.000 0.000 0.000
2 As 0.500 0.500 0.500
3 Ir 0.000 0.000 0.500



Entry 2
Here is an optimized crystal structure of CaAsIr3 from the Alexandria database. Energies are from GGA-PBE.

The value obtained for the density of states at the Fermi level is 0.73 states/eV/f.u.

a = 4.633 Å, b = 4.633 Å, c = 4.633 Å
α = 90.00°, β = 90.00°, γ = 90.00°
Space group Pm-3m (No. 221)
Inequivalent atoms, fractional coordinates:
1 Ca 0.000 0.000 0.000
2 As 0.500 0.500 0.500
3 Ir 0.000 0.500 0.500



Result of the stability comparison: entry 1 is the least stable of them.



Entry 1
Here is an optimized crystal structure of RbCaAsIrS from the Alexandria database. Energies are from GGA-PBE.

The value obtained for the density of states at the Fermi level is 2.11 states/eV/f.u.

a = 7.335 Å, b = 4.036 Å, c = 9.393 Å
α = 90.00°, β = 105.22°, γ = 90.00°
Space group Cm (No. 8)
Inequivalent atoms, fractional coordinates:
1 Rb 0.000 0.000 0.000
2 Ca 0.213 0.000 0.608
3 As 0.450 0.000 0.337
4 Ir 0.277 0.500 0.336
5 S 0.090 0.500 0.755



Entry 2
Here is an optimized crystal structure of RbCaAsIrS from the Alexandria database. Energies are from GGA-PBE.

The value obtained for the density of states at the Fermi level is 1.96 states/eV/f.u.

a = 10.502 Å, b = 4.198 Å, c = 7.968 Å
α = 90.00°, β = 118.27°, γ = 90.00°
Space group Cm (No. 8)
Inequivalent atoms, fractional coordinates:
1 Rb 0.000 0.000 0.000
2 Ca 0.048 0.500 0.570
3 As 0.287 0.500 0.421
4 Ir 0.249 0.000 0.524
5 S 0.224 0.000 0.798



Entry 3
Here is an optimized crystal structure of RbCaAsIrS from the Alexandria database. Energies are from GGA-PBE.

The value obtained for the density of states at the Fermi level is 0.97 states/eV/f.u.

a = 13.193 Å, b = 4.119 Å, c = 5.169 Å
α = 90.00°, β = 111.64°, γ = 90.00°
Space group Cm (No. 8)
Inequivalent atoms, fractional coordinates:
1 Rb 0.000 0.000 0.000
2 Ca 0.287 0.500 0.278
3 As 0.228 0.000 0.767
4 Ir 0.141 0.500 0.622
5 S 0.451 0.000 0.459



Result of the stability comparison: entry 3 is the least stable of them.



Entry 1
Here is an optimized crystal structure of RbCaAsIrS from the Alexandria database. Energies are from GGA-PBE.

The value obtained for the density of states at the Fermi level is 1.95 states/eV/f.u.

a = 7.163 Å, b = 4.138 Å, c = 9.373 Å
α = 90.00°, β = 104.75°, γ = 90.00°
Space group Cm (No. 8)
Inequivalent atoms, fractional coordinates:
1 Rb 0.000 0.000 0.000
2 Ca 0.298 0.500 0.394
3 As 0.226 0.000 0.673
4 Ir 0.056 0.500 0.665
5 S 0.416 0.000 0.247



Entry 2
Here is an optimized crystal structure of RbCaAsIrS from the Alexandria database. Energies are from GGA-PBE.

The value obtained for the density of states at the Fermi level is 0.84 states/eV/f.u.

a = 4.603 Å, b = 4.731 Å, c = 7.824 Å
α = 72.62°, β = 89.74°, γ = 89.84°
Space group P1 (No. 1)
Inequivalent atoms, fractional coordinates:
1 Rb 0.000 0.000 0.000
2 Ca 0.995 0.245 0.461
3 As 0.495 0.697 0.630
4 Ir 0.995 0.652 0.669
5 S 0.497 0.062 0.320



Result of the stability comparison: entry 2 is the least stable of them.